1.
# ZrPaC2 PBE optimized geometry
# Formation energy from the elements: -2.415 eV per formula unit
data_ZrPaC2
_space_group_name_H-M_alt 'P 63/m m c'
_space_group_IT_number 194
_space_group_name_Hall '-P 6c 2c'
_cell_length_a 3.3908
_cell_length_b 3.3908
_cell_length_c 11.7232
_cell_angle_alpha 90.00
_cell_angle_beta 90.00
_cell_angle_gamma 120.00
loop_
_atom_site_label
_atom_site_type_symbol
_atom_site_fract_x
_atom_site_fract_y
_atom_site_fract_z
Zr1 Zr 0.0000 0.0000 0.0000
Pa1 Pa 0.3333 0.6667 0.2500
C1 C 0.3333 0.6667 0.6177

2.
# LaZrFe2 PBE optimized geometry
# Formation energy from the elements: 0.682 eV per formula unit
data_LaZrFe2
_space_group_name_H-M_alt 'P 4 m m'
_space_group_IT_number 99
_space_group_name_Hall 'P 4 -2'
_cell_length_a 3.1520
_cell_length_b 3.1520
_cell_length_c 7.9852
_cell_angle_alpha 90.00
_cell_angle_beta 90.00
_cell_angle_gamma 90.00
loop_
_atom_site_label
_atom_site_type_symbol
_atom_site_fract_x
_atom_site_fract_y
_atom_site_fract_z
La1 La 0.0000 0.0000 0.0000
Zr1 Zr 0.5000 0.5000 0.3783
Fe1 Fe 0.0000 0.0000 0.5798
Fe2 Fe 0.5000 0.5000 0.7293

3.
# CaNiW2 PBE optimized geometry
# Formation energy from the elements: 1.820 eV per formula unit
data_CaNiW2
_space_group_name_H-M_alt 'I m m m'
_space_group_IT_number 71
_space_group_name_Hall '-I 2 2'
_cell_length_a 2.9113
_cell_length_b 4.5211
_cell_length_c 10.4471
_cell_angle_alpha 90.00
_cell_angle_beta 90.00
_cell_angle_gamma 90.00
loop_
_atom_site_label
_atom_site_type_symbol
_atom_site_fract_x
_atom_site_fract_y
_atom_site_fract_z
Ca1 Ca 0.0000 0.0000 0.0000
Ni1 Ni 0.0000 0.0000 0.5000
W1 W 0.0000 0.5000 0.2197

4.
# Pr6ZnCo2Br3 PBE optimized geometry
# Raw formation energy: -0.705 eV per atom
data_Pr6ZnCo2Br3
_space_group_name_H-M_alt 'C 1 2/m 1'
_space_group_IT_number 12
_space_group_name_Hall '-C 2y'
_cell_length_a 7.1631
_cell_length_b 12.4086
_cell_length_c 8.1712
_cell_angle_alpha 90.00
_cell_angle_beta 107.03
_cell_angle_gamma 90.00
loop_
_atom_site_label
_atom_site_type_symbol
_atom_site_fract_x
_atom_site_fract_y
_atom_site_fract_z
Pr1 Pr 0.2056 0.0000 0.1989
Pr2 Pr 0.2469 0.3196 0.1994
Zn1 Zn 0.0000 0.5000 0.0000
Co1 Co 0.0000 0.1668 0.0000
Br1 Br 0.0000 0.0000 0.5000
Br2 Br 0.0000 0.3356 0.5000

5.
# Ca11In9Pt4 PBE optimized geometry
# Formation energy from the elements: -14.895 eV per formula unit
data_Ca11In9Pt4
_space_group_name_H-M_alt 'C m m m'
_space_group_IT_number 65
_space_group_name_Hall '-C 2 2'
_cell_length_a 14.7150
_cell_length_b 22.2754
_cell_length_c 3.8182
_cell_angle_alpha 90.00
_cell_angle_beta 90.00
_cell_angle_gamma 90.00
loop_
_atom_site_label
_atom_site_type_symbol
_atom_site_fract_x
_atom_site_fract_y
_atom_site_fract_z
Ca1 Ca 0.0000 0.0000 0.0000
Ca2 Ca 0.0000 0.1618 0.0000
Ca3 Ca 0.0000 0.3720 0.0000
Ca4 Ca 0.1924 0.5000 0.0000
Ca5 Ca 0.2452 0.1707 0.0000
In1 In 0.0000 0.5000 0.5000
In2 In 0.1035 0.2649 0.5000
In3 In 0.1488 0.0715 0.5000
Pt1 Pt 0.1509 0.3996 0.5000

6.
# MgPaZn PBE optimized geometry
# Formation energy from the elements: 0.341 eV per formula unit
data_MgPaZn
_space_group_name_H-M_alt 'P -6 m 2'
_space_group_IT_number 187
_space_group_name_Hall 'P -6 2'
_cell_length_a 4.8980
_cell_length_b 4.8980
_cell_length_c 3.0807
_cell_angle_alpha 90.00
_cell_angle_beta 90.00
_cell_angle_gamma 120.00
loop_
_atom_site_label
_atom_site_type_symbol
_atom_site_fract_x
_atom_site_fract_y
_atom_site_fract_z
Mg1 Mg 0.0000 0.0000 0.0000
Pa1 Pa 0.6667 0.3333 0.5000
Zn1 Zn 0.3333 0.6667 0.0000

7.
# NaRuCl4 PBE optimized geometry
# Raw formation energy: -0.905 eV per atom
data_NaRuCl4
_space_group_name_H-M_alt 'C 1 2/c 1'
_space_group_IT_number 15
_space_group_name_Hall '-C 2yc'
_cell_length_a 7.7438
_cell_length_b 14.8341
_cell_length_c 6.2894
_cell_angle_alpha 90.00
_cell_angle_beta 106.58
_cell_angle_gamma 90.00
loop_
_atom_site_label
_atom_site_type_symbol
_atom_site_fract_x
_atom_site_fract_y
_atom_site_fract_z
Na1 Na 0.0000 0.2240 0.2500
Ru1 Ru 0.0000 0.0578 0.7500
Cl1 Cl 0.1745 0.0540 0.1322
Cl2 Cl 0.1862 0.1713 0.6698

8.
# CsTl2Zn4 PBE optimized geometry
# Formation energy from the elements: 4.394 eV per formula unit
data_CsTl2Zn4
_space_group_name_H-M_alt 'I 4/m m m'
_space_group_IT_number 139
_space_group_name_Hall '-I 4 2'
_cell_length_a 6.3305
_cell_length_b 6.3305
_cell_length_c 16.3388
_cell_angle_alpha 90.00
_cell_angle_beta 90.00
_cell_angle_gamma 90.00
loop_
_atom_site_label
_atom_site_type_symbol
_atom_site_fract_x
_atom_site_fract_y
_atom_site_fract_z
Cs1 Cs 0.0000 0.0000 0.0000
Tl1 Tl 0.0000 0.0000 0.4055
Zn1 Zn 0.0000 0.0000 0.2249
Zn2 Zn 0.0000 0.5000 0.0000

9.
# Tm3Cu2Ni4 PBE optimized geometry
# Formation energy from the elements: -3.566 eV per formula unit
data_Tm3Cu2Ni4
_space_group_name_H-M_alt 'C 1 2/m 1'
_space_group_IT_number 12
_space_group_name_Hall '-C 2y'
_cell_length_a 9.3703
_cell_length_b 4.0943
_cell_length_c 7.9575
_cell_angle_alpha 90.00
_cell_angle_beta 100.50
_cell_angle_gamma 90.00
loop_
_atom_site_label
_atom_site_type_symbol
_atom_site_fract_x
_atom_site_fract_y
_atom_site_fract_z
Tm1 Tm 0.0000 0.0000 0.0000
Tm2 Tm 0.1196 0.5000 0.3747
Cu1 Cu 0.1952 0.5000 0.7662
Ni1 Ni 0.0875 0.0000 0.6319
Ni2 Ni 0.2274 0.5000 0.0797

10.
# TiPAu2C PBE optimized geometry
# Formation energy from the elements: 4.017 eV per formula unit
data_TiPAu2C
_space_group_name_H-M_alt 'P 4/m m m'
_space_group_IT_number 123
_space_group_name_Hall '-P 4 2'
_cell_length_a 4.1453
_cell_length_b 4.1453
_cell_length_c 4.7683
_cell_angle_alpha 90.00
_cell_angle_beta 90.00
_cell_angle_gamma 90.00
loop_
_atom_site_label
_atom_site_type_symbol
_atom_site_fract_x
_atom_site_fract_y
_atom_site_fract_z
Ti1 Ti 0.0000 0.0000 0.0000
P1 P 0.5000 0.5000 0.0000
Au1 Au 0.0000 0.5000 0.5000
C1 C 0.5000 0.5000 0.5000

11.
# CsTcNiBr6 PBE optimized geometry
# Raw formation energy: -0.638 eV per atom
data_CsTcNiBr6
_space_group_name_H-M_alt 'P 3 1 2'
_space_group_IT_number 149
_space_group_name_Hall 'P 3 2'
_cell_length_a 6.7344
_cell_length_b 6.7344
_cell_length_c 8.2106
_cell_angle_alpha 90.00
_cell_angle_beta 90.00
_cell_angle_gamma 120.00
loop_
_atom_site_label
_atom_site_type_symbol
_atom_site_fract_x
_atom_site_fract_y
_atom_site_fract_z
Cs1 Cs 0.0000 0.0000 0.0000
Tc1 Tc 0.6667 0.3333 0.5000
Ni1 Ni 0.3333 0.6667 0.5000
Br1 Br 0.3765 0.0031 0.6767

12.
# SrSi2P PBE optimized geometry
# Raw formation energy: -0.154 eV per atom
data_SrSi2P
_space_group_name_H-M_alt 'I m m 2'
_space_group_IT_number 44
_space_group_name_Hall 'I 2 -2'
_cell_length_a 4.0260
_cell_length_b 4.1529
_cell_length_c 10.5818
_cell_angle_alpha 90.00
_cell_angle_beta 90.00
_cell_angle_gamma 90.00
loop_
_atom_site_label
_atom_site_type_symbol
_atom_site_fract_x
_atom_site_fract_y
_atom_site_fract_z
Sr1 Sr 0.0000 0.0000 0.0000
Si1 Si 0.0000 0.0000 0.3652
Si2 Si 0.0000 0.5000 0.7337
P1 P 0.0000 0.5000 0.2467